Material: TbCe2Er6
Method: DFT, PBE-GGA
State: relaxed

a b c (Å): 9.6665 9.6665 3.4081
angles (deg): 90.00 90.00 120.00
Closest atoms and distances in Å follow each position.
Space group P6/mmm (No. 191)
Unique sites:
Tb 0.0000 0.0000 0.0000  2 Tb 3.41, 12 Er 3.64
Ce 0.3333 0.6667 0.0000  2 Ce 3.41, 12 Er 3.65
Er 0.0000 0.3332 0.5000  5 Er 3.22-3.41

Summary:
The theoretical density comes out at 8.69 Mg/m³. The value obtained for the formation energy is 94 meV/atom.